Entry 1:
First-principles (GGA-PBEsol) data for a geometry-optimized RbFePd3 structure, as listed in Alexandria via LeMat-Bulk.

Output
magnetization = 4.1 μB/cell
E = -4.98 eV/atom
energy of formation = 0.5979 eV per atom

Lattice parameters (Å, degrees): 4.708 4.708 4.708 90.00 90.00 90.00
Fractional coordinates of all 5 atoms:
Rb  0.000  0.000  0.000
Fe  0.500  0.500  0.500
Pd  0.000  0.500  0.500
Pd  0.500  0.000  0.500
Pd  0.500  0.500  0.000

=====

Entry 2:
First-principles (GGA-PBEsol) data for a geometry-optimized LiCd2Rh structure, as listed in Alexandria via LeMat-Bulk.

Output
energy above the lowest structure with this stoichiometry = 145 meV/atom
magnetization = 0.0 μB/cell
E = -3.24 eV/atom
energy of formation = -0.1107 eV per atom

Lattice parameters (Å, degrees): 2.950 3.985 5.628 90.00 90.00 90.00
Fractional coordinates of all 4 atoms:
Li  0.000  0.000  0.000
Cd  0.000  0.000  0.452
Cd  0.500  0.500  0.750
Rh  0.500  0.500  0.232

=====

Entry 3:
First-principles (GGA-PBEsol) data for a geometry-optimized Sb2MoW structure, as listed in Alexandria via LeMat-Bulk.

Output
energy above the lowest structure with this stoichiometry = 15 meV/atom
magnetization = 0.0 μB/cell
E = -8.11 eV/atom
energy relative to the elements, uncorrected = 0.56 eV/atom

Lattice parameters (Å, degrees): 5.742 5.742 5.742 147.06 133.79 57.91
Fractional coordinates of all 4 atoms:
Sb  0.000  0.000  0.000
Sb  0.717  0.217  0.500
Mo  0.482  0.482  0.000
W  0.241  0.741  0.500

=====

Entry 4:
First-principles (GGA-PBEsol) data for a geometry-optimized TlReNi structure, as listed in Alexandria via LeMat-Bulk.

Output
magnetization = 0.0 μB/cell
E = -6.80 eV/atom
energy of formation = 0.5734 eV per atom

Lattice parameters (Å, degrees): 6.121 6.121 6.121 153.25 153.25 38.19
Fractional coordinates of all 3 atoms:
Tl  0.000  0.000  0.000
Re  0.306  0.306  0.000
Ni  0.673  0.673  0.000

=====

Entry 5:
First-principles (GGA-PBEsol) data for a geometry-optimized MnSbTe2 structure, as listed in Alexandria via LeMat-Bulk.

Output
magnetization = 3.0 μB/cell
E = -5.17 eV/atom
energy relative to the elements, uncorrected = 0.17 eV/atom

Lattice parameters (Å, degrees): 3.113 3.113 10.282 90.00 90.00 102.16
Fractional coordinates of all 4 atoms:
Mn  0.000  0.000  0.000
Sb  0.500  0.500  0.185
Te  0.000  0.000  0.496
Te  0.500  0.500  0.820

=====

Entry 6:
First-principles (GGA-PBEsol) data for a geometry-optimized CdBiBr3 structure, as listed in Alexandria via LeMat-Bulk.

Output
magnetization = 0.0 μB/cell
E = -2.38 eV/atom
energy relative to the elements, uncorrected = -0.16 eV/atom

Lattice parameters (Å, degrees): 5.305 5.305 5.305 90.00 90.00 90.00
Fractional coordinates of all 5 atoms:
Cd  0.000  0.000  0.000
Bi  0.500  0.500  0.500
Br  0.000  0.000  0.500
Br  0.000  0.500  0.000
Br  0.500  0.000  0.000

=====

Entry 7:
First-principles (GGA-PBEsol) data for a geometry-optimized ZnSiO3 structure, as listed in Alexandria via LeMat-Bulk.

Output
magnetization = 0.0 μB/cell
E = -6.83 eV/atom
energy relative to the elements, uncorrected = -2.21 eV/atom

Lattice parameters (Å, degrees): 5.352 5.352 5.352 52.87 52.87 52.87
Fractional coordinates of all 10 atoms:
Zn  0.132  0.132  0.132
Zn  0.868  0.868  0.868
Si  0.340  0.340  0.340
Si  0.660  0.660  0.660
O  0.063  0.700  0.454
O  0.300  0.546  0.937
O  0.454  0.063  0.700
O  0.546  0.937  0.300
O  0.700  0.454  0.063
O  0.937  0.300  0.546

=====

Entry 8:
First-principles (GGA-PBEsol) data for a geometry-optimized ZnCu2Br structure, as listed in Alexandria via LeMat-Bulk.

Output
energy above the lowest structure with this stoichiometry = 0 meV/atom
magnetization = 0.0 μB/cell
E = -2.92 eV/atom
energy relative to the elements, uncorrected = 0.11 eV/atom

Lattice parameters (Å, degrees): 4.140 4.140 5.317 93.78 93.78 58.46
Fractional coordinates of all 4 atoms:
Zn  0.000  0.000  0.000
Cu  0.331  0.331  0.092
Cu  0.669  0.669  0.908
Br  0.500  0.500  0.500

=====

Entry 9:
First-principles (GGA-PBEsol) data for a geometry-optimized Tl4SiS4 structure, as listed in Alexandria via LeMat-Bulk.

Output
magnetization = 0.0 μB/cell
E = -4.26 eV/atom
energy relative to the elements, uncorrected = -0.50 eV/atom

Lattice parameters (Å, degrees): 8.307 8.307 7.453 107.07 107.07 83.47
Fractional coordinates of all 18 atoms:
Tl  0.002  0.998  0.500
Tl  0.185  0.415  0.404
Tl  0.380  0.804  0.466
Tl  0.415  0.185  0.904
Tl  0.539  0.794  0.987
Tl  0.794  0.539  0.487
Tl  0.804  0.380  0.966
Tl  0.998  0.002  0.000
Si  0.170  0.586  0.946
Si  0.586  0.170  0.446
S  0.011  0.701  0.129
S  0.065  0.353  0.757
S  0.179  0.739  0.765
S  0.353  0.065  0.257
S  0.417  0.539  0.118
S  0.539  0.417  0.618
S  0.701  0.011  0.629
S  0.739  0.179  0.265

=====

Entry 10:
First-principles (GGA-PBEsol) data for a geometry-optimized La2AlCr structure, as listed in Alexandria via LeMat-Bulk.

Output
magnetization = 3.3 μB/cell
E = -6.10 eV/atom
energy of formation = 0.1524 eV per atom

Lattice parameters (Å, degrees): 3.576 4.735 6.351 90.00 105.27 90.00
Fractional coordinates of all 4 atoms:
La  0.000  0.000  0.000
La  0.287  0.500  0.607
Al  0.587  0.500  0.185
Cr  0.695  0.000  0.415

=====

Entry 11:
First-principles (GGA-PBEsol) data for a geometry-optimized NbZn2NiAg structure, as listed in Alexandria via LeMat-Bulk.

Output
magnetization = 1.2 μB/cell
E = -3.95 eV/atom
energy of formation = 0.7451 eV per atom

Lattice parameters (Å, degrees): 4.315 4.315 4.583 90.00 90.00 90.00
Fractional coordinates of all 5 atoms:
Nb  0.000  0.000  0.000
Zn  0.000  0.500  0.500
Zn  0.500  0.000  0.500
Ni  0.500  0.500  0.500
Ag  0.500  0.500  0.000

=====

Entry 12:
First-principles (GGA-PBEsol) data for a geometry-optimized SrSiNi2 structure, as listed in Alexandria via LeMat-Bulk.

Output
magnetization = 0.0 μB/cell
E = -4.66 eV/atom
energy relative to the elements, uncorrected = 0.31 eV/atom

Lattice parameters (Å, degrees): 5.053 5.053 5.053 134.42 134.42 66.43
Fractional coordinates of all 4 atoms:
Sr  0.000  0.000  0.000
Si  0.250  0.750  0.500
Ni  0.500  0.500  0.000
Ni  0.750  0.250  0.500